Record 1
YHo2TmS6, relaxed, DFT PBE; total moment = 0.000 μB per formula unit; raw formation energy = -20.6 eV/f.u.
1.0
-5.9814 3.2634 0.8667
-5.7430 -3.5956 1.1266
-2.8863 0.1544 6.7203
Y Ho Tm S
1 2 1 6
direct
0.8154 0.8154 0.5538
0.5169 0.5169 0.4493
0.0158 0.0159 0.9525
0.3170 0.3169 0.0491
0.6113 0.2181 0.2509
0.2180 0.9197 0.2509
0.9198 0.6114 0.2509
0.4138 0.7161 0.7526
0.7161 0.1174 0.7526
0.1174 0.4139 0.7526

---

Record 2
YHo2TmS4, relaxed, DFT PBE; total moment = 0.000 μB per formula unit; raw formation energy = -15.7 eV/f.u.
1.0
-1.8773 1.9948 -2.7048
-4.4846 -4.9957 -0.5718
-5.0718 1.0826 4.3185
Y Ho Tm S
1 2 1 4
direct
0.5000 0.5000 0.0000
0.0000 0.0000 0.0000
0.5000 0.0000 0.5000
0.0000 0.5000 0.5000
0.0000 0.7507 0.7465
0.0000 0.2493 0.2535
0.5000 0.7481 0.2540
0.5000 0.2519 0.7460

---

Record 3
Y3HoTm2S6, relaxed, DFT PBE; total moment = 0.000 μB per formula unit; raw formation energy = -23.7 eV/f.u.
1.0
6.7326 -0.0136 -0.0010
-3.3764 5.8247 -0.0010
-1.1204 -1.9400 6.3591
Y Ho Tm S
3 1 2 6
direct
0.1654 0.8346 0.5000
0.8346 0.1654 0.5000
0.5000 0.5000 0.5000
0.0000 0.0000 0.0000
0.3336 0.6664 0.0000
0.6664 0.3336 0.0000
0.9187 0.5827 0.7557
0.7452 0.7452 0.2436
0.0813 0.4173 0.2443
0.5827 0.9187 0.7557
0.2548 0.2548 0.7564
0.4173 0.0813 0.2443